AgP2OsCl: optimized geometry, GGA-PBEsol.

Raw formation energy: 0.59 eV/atom

a b c (Å): 4.4562 4.4562 5.1822
angles (deg): 90.00 90.00 90.00
Element x y z (fractional)
P 0.0000 0.5000 0.0000
P 0.5000 0.0000 0.0000
Cl 0.0000 0.0000 0.5000
Ag 0.5000 0.5000 0.5000
Os 0.0000 0.0000 0.0000

***

SrAg2OsCl: optimized geometry, GGA-PBEsol.

Raw formation energy: 0.38 eV/atom

a b c (Å): 4.4090 5.2064 5.2064
angles (deg): 90.00 90.00 90.00
Element x y z (fractional)
Sr 0.5000 0.5000 0.5000
Cl 0.5000 0.0000 0.0000
Ag 0.0000 0.5000 0.0000
Ag 0.0000 0.0000 0.5000
Os 0.0000 0.0000 0.0000

***

AgPCl2: optimized geometry, GGA-PBEsol.

Raw formation energy: 0.47 eV/atom
Relative energy among the computed polymorphs: 358 meV per atom

a b c (Å): 4.6699 4.6699 4.6699
angles (deg): 60.00 60.00 60.00
Element x y z (fractional)
Cl 0.2500 0.2500 0.2500
Cl 0.7500 0.7500 0.7500
P 0.5000 0.5000 0.5000
Ag 0.0000 0.0000 0.0000

***

Ag3PCl: optimized geometry, GGA-PBEsol.

Raw formation energy: 0.84 eV/atom

a b c (Å): 4.7765 4.7765 4.7765
angles (deg): 90.00 90.00 90.00
Element x y z (fractional)
Ag 0.0000 0.0000 0.5000
Ag 0.5000 0.0000 0.0000
Ag 0.0000 0.5000 0.0000
P 0.5000 0.5000 0.5000
Cl 0.0000 0.0000 0.0000